First-principles (PBE) data for a geometry-optimized CuPtSe2 structure, as listed in Alexandria.

Output
Space-group type = Cmmm (65)
Raw formation energy = -4 meV/atom

Unit cell a=3.674 b=4.565 c=4.566 alpha=73.98 beta=90.00 gamma=90.00
Element x y z (fractional)
Pt 0.500 0.750 0.750
Se 0.000 0.513 0.513
Se 0.000 0.987 0.987
Cu 0.500 0.250 0.250

First-principles (PBE) data for a geometry-optimized GaIN3 structure, as listed in Alexandria.

Output
Space-group type = Pm-3m (221)
Raw formation energy = 2101 meV/atom

Unit cell a=3.994 b=3.994 c=3.994 alpha=90.00 beta=90.00 gamma=90.00
Element x y z (fractional)
N 0.000 0.000 0.500
N 0.500 0.000 0.000
N 0.000 0.500 0.000
I 0.000 0.000 0.000
Ga 0.500 0.500 0.500

First-principles (PBE) data for a geometry-optimized AcThBiI structure, as listed in Alexandria.

Output
Space-group type = F-43m (216)
Raw formation energy = -687 meV/atom

Unit cell a=5.682 b=5.682 c=5.682 alpha=60.00 beta=60.00 gamma=60.00
Element x y z (fractional)
Ac 0.750 0.750 0.750
Bi 0.000 0.000 0.000
Th 0.250 0.250 0.250
I 0.500 0.500 0.500

First-principles (PBE) data for a geometry-optimized ScFe2Rh structure, as listed in Alexandria.

Output
Space-group type = C2/m (12)
Energy relative to the elements = -114 meV/atom

Unit cell a=5.005 b=5.005 c=2.794 alpha=79.62 beta=79.62 gamma=118.52
Element x y z (fractional)
Fe 0.000 0.000 0.000
Fe 0.500 0.500 0.000
Sc 0.000 0.500 0.500
Rh 0.500 0.000 0.500

Number 1: raw total energy -17.12 eV/f.u., D(E_F) 1.3 states/eV/f.u.. Number 2: raw total energy -19.05 eV/f.u., D(E_F) 2.5 states/eV/f.u.. Number 3: raw total energy -19.71 eV/f.u., D(E_F) 4.6 states/eV/f.u.. Number 4: raw total energy -31.06 eV/f.u., D(E_F) 3.0 states/eV/f.u..